# 1
13
Lattice="4.859 0.000 0.000 2.429 5.977 0.000 2.429 0.000 5.977" Properties=species:S:1:pos:R:3 comment="DyCu12 GGA-PBE relaxed" final_energy_ev_per_atom=-4.217 e_form_ev_per_atom=-0.08 volume_a3_per_atom=13.35 pbc="T T T"
Cu 2.429 3.859 2.118
Cu 2.429 2.118 3.859
Cu 3.644 2.989 0.000
Cu 4.859 2.118 2.118
Cu 2.429 1.327 1.327
Cu 1.215 0.000 2.989
Cu 4.859 1.327 4.650
Cu 7.288 4.650 4.650
Cu 4.859 3.859 3.859
Cu 3.644 0.000 2.989
Cu 1.215 2.989 0.000
Cu 4.859 4.650 1.327
Dy 0.000 0.000 0.000


# 2
16
Lattice="-5.549 0.182 -6.036 1.831 -8.890 -1.950 -2.274 1.621 7.711" Properties=species:S:1:pos:R:3 comment="Ce8OsRu3I4 GGA-PBE relaxed" final_energy_ev_per_atom=-6.451 formation_energy_uncorrected_ev_per_atom=-0.66 volume_a3_per_atom=29.08 pbc="T T T"
Ce -4.942 -1.785 -1.082
Ce -3.826 -5.215 -2.211
Ce -2.166 -1.873 1.935
Ce -1.029 -2.687 -1.920
Ce -2.188 -4.491 4.663
Ce -3.804 -2.596 -4.939
Ce -4.964 -4.400 1.644
Ce -1.050 -5.302 0.806
I -2.775 0.091 -3.018
I 0.000 0.000 0.000
I -3.912 0.902 0.837
I -1.137 0.811 3.855
Os 0.915 -4.445 -0.975
Ru -1.859 -4.354 -3.993
Ru -0.222 -3.634 2.880
Ru -2.996 -3.544 -0.138


# 3
12
Lattice="-2.011 -0.427 3.418 -4.623 -5.922 -3.458 6.431 -4.548 3.215" Properties=species:S:1:pos:R:3 comment="Tm3PHPb GGA-PBE relaxed" final_energy_ev_per_atom=-5.155 volume_a3_per_atom=22.92 pbc="T T T"
Pb -0.516 -8.608 2.112
Pb 0.314 -2.288 1.063
H -3.164 -7.561 0.686
H 2.962 -3.334 2.490
Tm 4.536 -4.792 3.233
Tm -1.364 -7.097 -0.525
Tm -4.738 -6.104 -0.058
Tm 2.232 -7.200 1.578
Tm 1.162 -3.799 3.700
Tm -2.434 -3.696 1.598
P -2.565 -4.706 -0.933
P 2.363 -6.190 4.108


# 4
16
Lattice="8.509 0.000 0.000 0.000 9.395 0.622 -4.255 -4.252 6.019" Properties=species:S:1:pos:R:3 comment="Rb4Y3ThSe8 GGA-PBE relaxed" final_energy_ev_per_atom=-5.348 formation_energy_uncorrected_ev_per_atom=-1.69 volume_a3_per_atom=31.48 pbc="T T T"
Rb -2.127 -2.126 3.009
Rb 0.000 0.000 0.000
Rb 4.255 0.000 0.000
Rb 2.127 -2.126 3.009
Se 2.143 2.675 0.396
Se 0.000 4.579 3.256
Se 4.255 4.567 3.227
Se 0.000 0.576 3.414
Se 2.112 2.468 6.244
Se 4.255 0.564 3.384
Se -2.112 2.468 6.244
Se 6.367 2.675 0.396
Y 2.127 2.572 3.320
Y -2.127 2.572 3.320
Y 4.255 4.698 0.311
Th 0.000 4.698 0.311


# 5
4
Lattice="3.214 0.000 0.000 1.607 2.784 0.000 1.607 0.928 7.843" Properties=species:S:1:pos:R:3 comment="TmNpMn2 GGA-PBE relaxed" final_energy_ev_per_atom=-8.600 e_form_ev_per_atom=0.34 volume_a3_per_atom=17.54 pbc="T T T"
Np 0.000 0.000 0.000
Mn 1.607 0.928 1.612
Mn 4.821 2.784 6.231
Tm 3.214 1.856 3.921


# 6
12
Lattice="7.712 -0.002 -0.001 -3.856 6.679 -0.001 -1.287 -2.228 8.660" Properties=species:S:1:pos:R:3 comment="Rb3Y2MgTe6 GGA-PBE relaxed" final_energy_ev_per_atom=-4.180 formation_energy_uncorrected_ev_per_atom=-1.16 volume_a3_per_atom=37.16 pbc="T T T"
Te 2.591 4.486 1.712
Te 2.527 -0.002 1.703
Te 3.833 2.260 6.955
Te -1.265 2.188 1.703
Te 0.042 4.450 6.955
Te -0.022 -0.038 6.947
Rb -2.548 4.438 4.329
Rb 1.284 2.224 4.329
Rb 5.117 0.010 4.329
Y 3.853 2.227 -0.001
Y 0.003 4.450 -0.001
Mg 0.000 0.000 0.000


no.,total magnetization (μB per formula unit)
1,0.00
2,4.90
3,0.00
4,0.00
5,0.25
6,0.00